This record from Alexandria via LeMat-Bulk describes crystalline Cs4Nd3FeO8 at its relaxed geometry. The functional is PBE with a Hubbard U.

Calculated values
N(E_F): 0.00 states/eV/f.u.
M_tot: 5.2 μB per cell
total DFT energy (no corrections): -6.0607 eV/atom

```
Cs4Nd3FeO8
1.0
7.204 0.000 0.000
0.000 8.034 0.558
-3.602 -3.588 5.111
Nd Cs Fe O
3 4 1 8
Cartesian
-1.801 2.223 2.834
3.602 4.017 0.279
1.801 2.223 2.834
0.000 0.000 0.000
-1.801 -1.794 2.555
1.801 -1.794 2.555
3.602 0.000 0.000
0.000 4.017 0.279
0.000 3.834 2.529
3.602 0.611 3.140
1.933 1.910 5.250
3.602 3.785 2.658
-1.933 1.910 5.250
0.000 0.661 3.011
5.535 2.536 0.419
1.669 2.536 0.419
```